[1]
! PBE-GGA MnMoAu2, optimized geometry; values from VASP
&SYSTEM
  ibrav = 0, nat = 4, ntyp = 3
/
ATOMIC_SPECIES
Mn 54.94 Mn.upf
Mo 95.94 Mo.upf
Au 196.97 Au.upf
ATOMIC_POSITIONS angstrom
Mn 0.000 0.000 0.000
Mo 3.166 3.166 3.166
Au 1.583 1.583 1.583
Au 4.748 4.748 4.748
CELL_PARAMETERS angstrom
0.000 3.166 3.166
3.166 0.000 3.166
3.166 3.166 0.000
! formation enthalpy at 0 K = 0.66 eV per atom
! excess energy over the best structure of this formula in the dataset = 522.2 meV per atom

[2]
! PBE-GGA Tl2HgPb, optimized geometry; values from VASP
&SYSTEM
  ibrav = 0, nat = 4, ntyp = 3
/
ATOMIC_SPECIES
Tl 204.38 Tl.upf
Hg 200.59 Hg.upf
Pb 207.20 Pb.upf
ATOMIC_POSITIONS angstrom
Tl 0.000 0.000 8.460
Tl 0.000 0.000 25.841
Hg 0.000 0.000 17.151
Pb 0.000 0.000 0.000
CELL_PARAMETERS angstrom
1.744 1.007 11.434
-1.744 1.007 11.434
0.000 -2.013 11.434
! formation enthalpy at 0 K = 0.00 eV per atom

[3]
! PBE-GGA DyThTc, optimized geometry; values from VASP
&SYSTEM
  ibrav = 0, nat = 3, ntyp = 3
/
ATOMIC_SPECIES
Dy 162.50 Dy.upf
Th 232.04 Th.upf
Tc 98.00 Tc.upf
ATOMIC_POSITIONS angstrom
Dy 0.000 0.000 0.000
Th 0.000 0.000 3.402
Tc 0.000 0.000 8.224
CELL_PARAMETERS angstrom
-1.741 1.741 6.455
1.741 -1.741 6.455
1.741 1.741 -6.455
! formation enthalpy at 0 K = -0.08 eV per atom
! excess energy over the best structure of this formula in the dataset = 35.3 meV per atom

Total energy per entry: -5.983 -2.184 -7.539 eV per atom